This record from Alexandria via LeMat-Bulk describes a relaxed structure of Y5Au6. The functional is PBE.

Lattice parameters (Å, degrees): 4.9631 7.3498 8.7327 114.89 106.51 90.00
With the nearest neighbours (Å) after each atom.
Positions (direct):
1 Y 0.0000 0.5000 0.0000  8 Au 2.97-3.18
2 Y 0.6722 0.6722 0.3444  8 Au 2.99-3.06
3 Y 0.3278 0.3278 0.6556  8 Au 2.99-3.06
4 Y 0.3539 0.8539 0.7078  8 Au 3.00-3.21
5 Y 0.6461 0.1461 0.2922  8 Au 3.00-3.21
6 Au 0.5000 0.7215 0.0000  6 Y 2.97-3.06, 1 Au 3.26
7 Au 0.5000 0.2785 0.0000  6 Y 2.97-3.06, 1 Au 3.26
8 Au 0.8216 0.0906 0.6431  7 Y 2.99-3.21, 2 Au 3.30
9 Au 0.8216 0.5526 0.6431  7 Y 2.99-3.21, 2 Au 3.30
10 Au 0.1784 0.9094 0.3569  7 Y 2.99-3.21, 2 Au 3.30
11 Au 0.1784 0.4474 0.3569  7 Y 2.99-3.21, 2 Au 3.30

Output
**Total moment**: 0.000 μB per atom
**Formation energy**: -0.7534 eV/atom
**Calculated volume**: 274.4 Å³/f.u.


This record from Alexandria via LeMat-Bulk describes a relaxed structure of Nd2Hg2Sb. The functional is PBE.

Lattice parameters (Å, degrees): 4.4838 4.4838 9.2624 104.09 104.08 59.91
With the nearest neighbours (Å) after each atom.
Positions (direct):
1 Nd 0.9003 0.4003 0.2012  3 Sb 3.15, 3 Hg 3.23
2 Nd 0.0997 0.5997 0.7988  3 Sb 3.15, 3 Hg 3.23
3 Hg 0.6934 0.1934 0.5805  3 Hg 2.96, 3 Nd 3.23
4 Hg 0.3066 0.8066 0.4195  3 Hg 2.96, 3 Nd 3.23
5 Sb 0.5000 0.0000 0.0000  6 Nd 3.15

Output
**Total moment**: 0.000 μB per atom
**E_form (uncorrected)**: -0.648 eV per atom
**Calculated volume**: 154.6 Å³/f.u.


This record from Alexandria via LeMat-Bulk describes a relaxed structure of YHo2TlN. The functional is PBE.

Lattice parameters (Å, degrees): 4.8296 4.7947 4.7947 90.00 90.00 90.00
With the nearest neighbours (Å) after each atom.
Positions (direct):
1 Y 0.5000 0.0000 0.0000  2 N 2.41
2 Ho 0.0000 0.0000 0.5000  2 N 2.40
3 Ho 0.0000 0.5000 0.0000  2 N 2.40
4 Tl 0.5000 0.5000 0.5000  4 Y 3.39, 8 Ho 3.40
5 N 0.0000 0.0000 0.0000  4 Ho 2.40, 2 Y 2.41

Output
**Total moment**: 0.000 μB per atom
**E_form (uncorrected)**: -0.951 eV per atom
**Calculated volume**: 111.0 Å³/f.u.


This record from Alexandria via LeMat-Bulk describes a relaxed structure of Bi2Sb2N. The functional is PBE.

Lattice parameters (Å, degrees): 6.5173 6.5173 6.3261 90.00 90.00 90.00
With the nearest neighbours (Å) after each atom.
Positions (direct):
1 Sb 0.2491 0.7491 0.5000  2 Bi 3.22, 4 Sb 3.26
2 Sb 0.7491 0.7509 0.5000  2 Bi 3.22, 4 Sb 3.26
3 Sb 0.7509 0.2509 0.5000  2 Bi 3.22, 4 Sb 3.26
4 Sb 0.2509 0.2491 0.5000  2 Bi 3.22, 4 Sb 3.26
5 Bi 0.3141 0.8141 0.0000  2 N 2.38
6 Bi 0.8141 0.6859 0.0000  2 N 2.38
7 Bi 0.6859 0.1859 0.0000  2 N 2.38
8 Bi 0.1859 0.3141 0.0000  2 N 2.38
9 N 0.0000 0.0000 0.0000  4 Bi 2.38
10 N 0.5000 0.5000 0.0000  4 Bi 2.38

Output
**Total moment**: 0.000 μB per atom
**E_form (uncorrected)**: 0.571 eV per atom
**Offset from the most stable computed form**: 0 meV per atom
**Calculated volume**: 134.4 Å³/f.u.


This record from Alexandria via LeMat-Bulk describes a relaxed structure of TaNi3Hg. The functional is PBE.

Lattice parameters (Å, degrees): 4.5816 4.5816 4.5816 90.00 90.00 90.00
With the nearest neighbours (Å) after each atom.
Positions (direct):
1 Ni 0.0000 0.5000 0.0000  2 Ta 2.29
2 Ni 0.0000 0.0000 0.5000  2 Ta 2.29
3 Ni 0.5000 0.0000 0.0000  2 Ta 2.29
4 Hg 0.5000 0.5000 0.5000  12 Ni 3.24
5 Ta 0.0000 0.0000 0.0000  6 Ni 2.29

Output
**Total moment**: 0.000 μB per atom
**Formation energy**: 1.1845 eV/atom
**Offset from the most stable computed form**: 0 meV per atom
**Calculated volume**: 96.2 Å³/f.u.


This record from Alexandria via LeMat-Bulk describes a relaxed structure of K2CaZnF6. The functional is PBE.

Lattice parameters (Å, degrees): 4.3534 4.3534 8.4906 90.00 90.00 90.00
With the nearest neighbours (Å) after each atom.
Positions (direct):
1 K 0.0000 0.0000 0.7299  12 F 2.92-3.16
2 K 0.0000 0.0000 0.2701  12 F 2.92-3.16
3 Ca 0.5000 0.5000 0.0000  6 F 2.18-2.27
4 Zn 0.5000 0.5000 0.5000  6 F 1.97-2.18
5 F 0.5000 0.0000 0.0000  2 Ca 2.18
6 F 0.5000 0.0000 0.5000  2 Zn 2.18
7 F 0.0000 0.5000 0.0000  2 Ca 2.18
8 F 0.0000 0.5000 0.5000  2 Zn 2.18
9 F 0.5000 0.5000 0.7321  1 Zn 1.97
10 F 0.5000 0.5000 0.2679  1 Zn 1.97

Output
**Total moment**: 0.000 μB per atom
**E_form (uncorrected)**: -2.998 eV per atom
**Calculated volume**: 160.9 Å³/f.u.


This record from Alexandria via LeMat-Bulk describes a relaxed structure of B5C7. The functional is PBE.

Lattice parameters (Å, degrees): 6.0466 6.0466 5.3837 103.34 103.34 24.72
With the nearest neighbours (Å) after each atom.
Positions (direct):
1 B 0.0167 0.0167 0.0547  3 C 1.54-1.62
2 B 0.2660 0.2660 0.3822  2 C 1.59-1.63
3 B 0.8979 0.8979 0.6516  3 C 1.52-1.62
4 B 0.6526 0.6526 0.3268  2 C 1.64-1.65, 2 B 1.84
5 B 0.2585 0.2585 0.8824  4 C 1.59-1.77
6 C 0.9173 0.9173 0.2162  3 C 1.56-1.61, 1 B 1.62
7 C 0.3419 0.3419 0.1666  2 C 1.56, 2 B 1.61-1.63
8 C 0.0010 0.0010 0.4985  3 C 1.57-1.61, 1 B 1.62
9 C 0.5776 0.5776 0.5488  3 C 1.54-1.57, 1 B 1.65
10 C 0.3343 0.3343 0.6741  4 B 1.52-1.59
11 C 0.6530 0.6530 0.8247  2 C 1.50-1.54
12 C 0.5832 0.5832 0.0236  1 C 1.50, 3 B 1.54-1.64

Output
**Total moment**: 0.000 μB per atom
**Formation energy**: 0.3152 eV/atom
**Offset from the most stable computed form**: 57 meV per atom
**Calculated volume**: 80.0 Å³/f.u.


This record from Alexandria via LeMat-Bulk describes a relaxed structure of LaTeMoN2. The functional is PBE.

Lattice parameters (Å, degrees): 4.1859 4.1859 5.4087 90.00 90.00 90.00
With the nearest neighbours (Å) after each atom.
Positions (direct):
1 N 0.0000 0.5000 0.0000  2 Mo 2.09
2 N 0.5000 0.0000 0.0000  2 Mo 2.09
3 Mo 0.0000 0.0000 0.0000  4 N 2.09
4 Te 0.0000 0.0000 0.5000  2 Mo 2.70, 4 La 2.96
5 La 0.5000 0.5000 0.5000  4 Te 2.96

Output
**Total moment**: 0.000 μB per atom
**E_form (uncorrected)**: -0.086 eV per atom
**Offset from the most stable computed form**: 0 meV per atom
**Calculated volume**: 94.8 Å³/f.u.


> Which formula does entry 7 have?

B5C7